Entry 1:
Cd2ReSi (PBE, optimized geometry); energy relative to the elements, uncorrected = 0.614 eV per atom; total magnetization = 0.00 Bohr magnetons per cell; space group = C2/m, No. 12; VASP energy = -17.24 eV per formula unit
1.0
-4.782 -1.130 -1.565
0.528 0.307 5.537
-1.445 2.424 0.421
Si Cd Re
1 2 1
direct
0.500 0.500 0.000
0.500 0.000 0.500
0.000 0.000 0.000
0.000 0.500 0.500

---

Entry 2:
CdW2Se (PBE, optimized geometry); energy relative to the elements, uncorrected = 0.841 eV per atom; total magnetization = 0.00 Bohr magnetons per cell; space group = Pmmm, No. 47; VASP energy = -26.94 eV per formula unit
1.0
-1.295 -2.825 0.680
4.027 -1.395 1.875
-1.410 1.675 4.276
Cd Se W
1 1 2
direct
0.500 0.000 0.500
0.000 0.500 0.500
0.000 0.000 0.000
0.500 0.500 0.000